Compound: Ta2VO6
Source: Alexandria
Functional: PBE with a Hubbard U
Structure: optimized geometry

## Properties
final energy	-9.343	eV/atom
excess energy over the best structure of this formula in the dataset	70.0	meV/atom

POSCAR file:
```
Ta2VO6
1.0
5.261 0.000 0.000
-2.631 4.557 0.000
0.000 0.000 4.616
Ta V O
2 1 6
direct
0.333 0.667 0.000
0.667 0.333 0.000
0.000 0.000 0.500
0.000 0.354 0.230
0.000 0.646 0.770
0.354 0.000 0.230
0.354 0.354 0.770
0.646 0.000 0.770
0.646 0.646 0.230
```